LiNpB2O6: relaxed, GGA-PBE.

Cell lengths 6.457, 6.457, 4.742 Å; angles 100.73, 100.73, 88.25 degrees
Element x y z (fractional)
Li 0.064 0.936 0.750
Li 0.936 0.064 0.250
Np 0.298 0.702 0.250
Np 0.702 0.298 0.750
B 0.202 0.362 0.721
B 0.362 0.202 0.221
B 0.638 0.798 0.779
B 0.798 0.638 0.279
O 0.022 0.228 0.649
O 0.150 0.585 0.846
O 0.228 0.022 0.149
O 0.303 0.377 0.462
O 0.377 0.303 0.962
O 0.415 0.850 0.654
O 0.585 0.150 0.346
O 0.623 0.697 0.038
O 0.697 0.623 0.538
O 0.772 0.978 0.851
O 0.850 0.415 0.154
O 0.978 0.772 0.351

Summary:
As for the volume: 9.544 Å³/atom. As for the total magnetization: 2.00 μB/f.u. The calculation puts the density of states at the Fermi level at 4.34 states/eV per cell. Its formation energy without anion corrections is -2491 meV per atom.

=====

LiNpB2O8: relaxed, GGA-PBE.

Cell lengths 5.365, 5.365, 5.365 Å; angles 106.65, 106.65, 115.28 degrees
Element x y z (fractional)
Li 0.000 0.000 0.000
Np 0.250 0.750 0.500
B 0.500 0.500 0.000
B 0.750 0.250 0.500
O 0.351 0.164 0.813
O 0.351 0.538 0.187
O 0.413 0.093 0.320
O 0.462 0.649 0.813
O 0.773 0.093 0.680
O 0.836 0.649 0.187
O 0.907 0.227 0.320
O 0.907 0.587 0.680

Summary:
As for the volume: 9.827 Å³/atom. As for the total magnetization: 2.03 μB/f.u. The calculation puts the density of states at the Fermi level at 4.09 states/eV per cell. Its formation energy without anion corrections is -1873 meV per atom.

=====

LiNp2B2Rh5: relaxed, GGA-PBE.

Cell lengths 9.555, 9.555, 3.162 Å; angles 90.00, 90.00, 90.00 degrees
Element x y z (fractional)
Li 0.000 0.000 0.000
Li 0.500 0.500 0.000
Np 0.178 0.322 0.000
Np 0.322 0.822 0.000
Np 0.678 0.178 0.000
Np 0.822 0.678 0.000
B 0.124 0.624 0.000
B 0.376 0.124 0.000
B 0.624 0.876 0.000
B 0.876 0.376 0.000
Rh 0.000 0.500 0.500
Rh 0.069 0.780 0.500
Rh 0.220 0.069 0.500
Rh 0.280 0.569 0.500
Rh 0.431 0.280 0.500
Rh 0.500 0.000 0.500
Rh 0.569 0.720 0.500
Rh 0.720 0.431 0.500
Rh 0.780 0.931 0.500
Rh 0.931 0.220 0.500

Summary:
The formation energy is -0.389 eV per atom. As for the volume: 14.437 Å³/atom. As for the total magnetization: 6.61 μB/f.u. The calculation puts the density of states at the Fermi level at 37.65 states/eV per cell.

=====

LiBO2: relaxed, GGA-PBE.

Cell lengths 4.530, 5.943, 4.415 Å; angles 90.00, 90.00, 90.00 degrees
Element x y z (fractional)
Li 0.067 0.123 0.000
Li 0.433 0.623 0.500
Li 0.567 0.377 0.000
Li 0.933 0.877 0.500
B 0.057 0.625 0.016
B 0.443 0.125 0.516
B 0.557 0.875 0.016
B 0.943 0.375 0.516
O 0.033 0.580 0.349
O 0.125 0.173 0.438
O 0.375 0.673 0.938
O 0.467 0.080 0.849
O 0.533 0.920 0.349
O 0.625 0.327 0.438
O 0.875 0.827 0.938
O 0.967 0.420 0.849

Summary:
As for the volume: 7.429 Å³/atom. As for the total magnetization: 0.00 μB/f.u. The calculation puts the density of states at the Fermi level at 0.00 states/eV per cell. Its formation energy without anion corrections is -2381 meV per atom.

=====

Li5B2O5: relaxed, GGA-PBE.

Cell lengths 5.615, 5.615, 7.212 Å; angles 101.16, 101.16, 26.96 degrees
Element x y z (fractional)
Li 0.000 0.000 0.000
Li 0.128 0.128 0.484
Li 0.215 0.215 0.209
Li 0.785 0.785 0.791
Li 0.872 0.872 0.516
B 0.468 0.468 0.279
B 0.532 0.532 0.721
O 0.112 0.112 0.778
O 0.423 0.423 0.797
O 0.500 0.500 0.500
O 0.577 0.577 0.203
O 0.888 0.888 0.222

Summary:
As for the volume: 8.417 Å³/atom. As for the total magnetization: 0.19 μB/f.u. The calculation puts the density of states at the Fermi level at 0.80 states/eV per cell. Its formation energy without anion corrections is -1856 meV per atom.

=====

Li5B2O6: relaxed, GGA-PBE.

Cell lengths 8.993, 9.623, 2.574 Å; angles 90.00, 90.00, 90.00 degrees
Element x y z (fractional)
Li 0.000 0.000 0.000
Li 0.005 0.265 0.000
Li 0.200 0.495 0.000
Li 0.300 0.995 0.000
Li 0.495 0.765 0.000
Li 0.500 0.500 0.000
Li 0.505 0.235 0.000
Li 0.700 0.005 0.000
Li 0.800 0.505 0.000
Li 0.995 0.735 0.000
B 0.230 0.783 0.500
B 0.270 0.283 0.500
B 0.730 0.717 0.500
B 0.770 0.217 0.500
O 0.101 0.878 0.500
O 0.131 0.361 0.500
O 0.221 0.691 0.000
O 0.279 0.191 0.000
O 0.369 0.861 0.500
O 0.399 0.378 0.500
O 0.601 0.622 0.500
O 0.631 0.139 0.500
O 0.721 0.809 0.000
O 0.779 0.309 0.000
O 0.869 0.639 0.500
O 0.899 0.122 0.500

Summary:
As for the volume: 8.568 Å³/atom. As for the total magnetization: 0.96 μB/f.u. The calculation puts the density of states at the Fermi level at 3.67 states/eV per cell. Its formation energy without anion corrections is -2024 meV per atom.